CoHgSe2O8 | GGA+U | relaxed

Unit cell a=5.4739 b=5.4739 c=6.6671 alpha=90.00 beta=90.00 gamma=120.00
Site moments in Bohr magnetons follow the coordinates.
Fractional coordinates of all 12 atoms:
Co 0.0000 0.0000 0.0000  2.71
Hg 0.0000 0.0000 0.5000  -0.01
Se 0.3333 0.6667 0.7135  0.02
Se 0.6667 0.3333 0.2865  0.02
O 0.1638 0.3276 0.7933  0.03
O 0.1638 0.8362 0.7933  0.03
O 0.6724 0.8362 0.7933  0.03
O 0.3276 0.1638 0.2067  0.03
O 0.6667 0.3333 0.5326  0.03
O 0.3333 0.6667 0.4674  0.03
O 0.8362 0.6724 0.2067  0.03
O 0.8362 0.1638 0.2067  0.03

SG: No. 164
V (Å³ per atom): 14.42
E (eV per cell): -58.3